No. 1
Below is a PBEsol-optimized structure of LiYNbCu2, with properties calculated at the SCAN level.

abc: 4.1998 4.1998 4.5562
angles: 90.00 90.00 90.00
Fractional positions:
Y 0.0000 0.0000 0.5000
Nb 0.5000 0.5000 0.5000
Cu 0.0000 0.5000 0.0000
Cu 0.5000 0.0000 0.0000
Li 0.0000 0.0000 0.0000

Calculated values
* formation energy from the elements: 740 meV/atom

No. 2
Below is a PBEsol-optimized structure of LiNd6Cu2O12, with properties calculated at the SCAN level.

abc: 5.5507 6.6628 8.6727
angles: 111.57 108.66 90.00
Last column: magnetic moment on the atom in μB.
Fractional positions:
Li 0.0000 0.0000 0.0000  0.01
Nd 0.7839 0.8665 0.5677  0.00
Nd 0.8833 0.4695 0.7666  0.00
Nd 0.4508 0.1977 0.9016  0.00
Nd 0.5492 0.8023 0.0984  0.00
Nd 0.2161 0.1335 0.4323  0.00
Nd 0.1167 0.5305 0.2334  0.00
Cu 0.6677 0.3350 0.3353  0.32
Cu 0.3323 0.6650 0.6647  0.32
O 0.9165 0.8329 0.3326  0.00
O 0.0000 0.5000 0.5000  -0.01
O 0.7504 0.5000 0.0000  0.00
O 0.8281 0.1760 0.1761  0.08
O 0.5840 0.1671 0.6674  0.00
O 0.6520 0.8240 0.8239  0.08
O 0.5000 0.5000 0.5000  -0.01
O 0.3480 0.1760 0.1761  0.08
O 0.4160 0.8329 0.3326  0.00
O 0.2496 0.5000 0.0000  0.00
O 0.0835 0.1671 0.6674  0.00
O 0.1719 0.8240 0.8239  0.08

Calculated values
* formation energy from raw total energies: -2.968 eV/atom

No. 3
Below is a PBEsol-optimized structure of Li3CuNi4O8, with properties calculated at the SCAN level.

abc: 5.7665 5.7665 5.7339
angles: 89.59 120.26 120.40
Last column: magnetic moment on the atom in μB.
Fractional positions:
Ni 0.0000 0.5000 0.5000  1.51
Ni 0.0000 0.0000 0.0000  -1.62
Ni 0.0000 0.5000 0.0000  0.86
Ni 0.5000 0.0000 0.0000  0.86
O 0.5334 0.2481 0.7815  -0.16
O 0.5003 0.7629 0.7693  -0.15
O 0.0064 0.2690 0.7693  -0.15
O 0.0026 0.7490 0.7516  0.10
O 0.9974 0.2510 0.2484  0.10
O 0.9936 0.7310 0.2307  -0.15
O 0.4997 0.2371 0.2307  -0.15
O 0.4666 0.7519 0.2185  -0.16
Cu 0.5000 0.5000 0.0000  -0.90
Li 0.5000 0.5000 0.5000  0.01
Li 0.5000 0.0000 0.5000  -0.01
Li 0.0000 0.0000 0.5000  0.01

Calculated values
* formation energy from raw total energies: -1.472 eV/atom

No. 4
Below is a PBEsol-optimized structure of Li4Cu3NiP4O16, with properties calculated at the SCAN level.

abc: 4.6785 5.9565 9.8741
angles: 90.00 90.66 90.00
Last column: magnetic moment on the atom in μB.
Fractional positions:
Li 0.9943 0.7503 0.0019  0.00
Li 0.9943 0.2497 0.0019  0.00
Li 0.5067 0.2478 0.5004  0.00
Li 0.5067 0.7522 0.5004  0.00
Cu 0.0314 0.5000 0.2823  0.76
Cu 0.4559 0.5000 0.7801  0.76
Cu 0.5296 0.0000 0.2202  0.76
Ni 0.9848 0.0000 0.7226  1.72
P 0.0820 0.0000 0.4051  0.00
P 0.4201 0.0000 0.9047  0.00
P 0.5720 0.5000 0.0949  0.00
P 0.9257 0.5000 0.5965  0.01
O 0.2065 0.0000 0.5517  0.05
O 0.2204 0.7940 0.3327  0.05
O 0.2204 0.2060 0.3327  0.05
O 0.2556 0.5000 0.6001  0.06
O 0.2436 0.5000 0.0992  0.05
O 0.2732 0.7961 0.8317  0.08
O 0.2732 0.2039 0.8317  0.08
O 0.3006 0.0000 0.0508  0.07
O 0.6852 0.5000 0.9469  0.07
O 0.7152 0.2934 0.1653  0.04
O 0.7152 0.7066 0.1653  0.04
O 0.7470 0.0000 0.9011  0.03
O 0.7535 0.0000 0.4009  0.05
O 0.7907 0.2900 0.6653  0.05
O 0.7907 0.7100 0.6653  0.05
O 0.8055 0.5000 0.4485  0.07

Calculated values
* formation energy from raw total energies: -2.113 eV/atom

No. 5
Below is a PBEsol-optimized structure of Li2CuNiP2O8, with properties calculated at the SCAN level.

abc: 4.6741 5.9293 9.8751
angles: 90.00 91.28 90.00
Last column: magnetic moment on the atom in μB.
Fractional positions:
Li 0.0000 0.0000 0.5000  0.00
Li 0.0000 0.5000 0.5000  0.00
Li 0.5000 0.0000 0.0000  0.00
Li 0.5000 0.5000 0.0000  0.00
Cu 0.0420 0.7500 0.2214  0.77
Cu 0.9580 0.2500 0.7786  0.77
Ni 0.5150 0.2500 0.2779  1.73
Ni 0.4850 0.7500 0.7221  1.73
P 0.5798 0.7500 0.4047  0.01
P 0.0761 0.2500 0.0946  0.00
P 0.9239 0.7500 0.9054  0.00
P 0.4202 0.2500 0.5953  0.01
O 0.2948 0.2500 0.4480  0.05
O 0.2497 0.7500 0.4006  0.06
O 0.7132 0.9606 0.3351  0.05
O 0.7132 0.5394 0.3351  0.05
O 0.2257 0.4547 0.1671  0.08
O 0.2257 0.0453 0.1671  0.08
O 0.7489 0.2500 0.0986  0.03
O 0.8108 0.7500 0.0522  0.07
O 0.1892 0.2500 0.9478  0.07
O 0.2511 0.7500 0.9014  0.03
O 0.7743 0.9547 0.8329  0.08
O 0.7743 0.5453 0.8329  0.08
O 0.2868 0.4606 0.6649  0.05
O 0.2868 0.0394 0.6649  0.05
O 0.7503 0.2500 0.5994  0.06
O 0.7052 0.7500 0.5520  0.05

Calculated values
* formation energy from raw total energies: -2.164 eV/atom

No. 6
Below is a PBEsol-optimized structure of Li4Cu3Ni3Te2O16, with properties calculated at the SCAN level.

abc: 5.8345 5.8345 9.5812
angles: 93.11 93.11 58.99
Last column: magnetic moment on the atom in μB.
Fractional positions:
Li 0.3329 0.3329 0.9122  0.00
Li 0.0089 0.0089 0.9858  0.00
Li 0.0047 0.0047 0.4833  0.00
Li 0.6551 0.6551 0.4137  0.00
Cu 0.1697 0.6641 0.2109  0.62
Cu 0.6641 0.1697 0.2109  0.62
Cu 0.8327 0.8327 0.7117  0.80
Ni 0.1721 0.1721 0.2144  0.89
Ni 0.3401 0.8309 0.7125  0.91
Ni 0.8309 0.3401 0.7125  0.91
Te 0.3291 0.3291 0.4848  0.01
Te 0.6709 0.6709 0.9820  0.01
O 0.1696 0.6735 0.5893  0.07
O 0.4730 0.4730 0.3516  0.12
O 0.3254 0.3254 0.1231  0.10
O 0.0105 0.0105 0.2912  0.06
O 0.0099 0.0099 0.7941  0.01
O 0.6735 0.1696 0.5893  0.07
O 0.0183 0.4675 0.3568  0.08
O 0.4675 0.0183 0.3568  0.08
O 0.8442 0.8442 0.0834  0.06
O 0.1717 0.1717 0.5970  0.10
O 0.5059 0.9668 0.8470  0.11
O 0.9668 0.5059 0.8470  0.11
O 0.6581 0.6581 0.6226  0.03
O 0.3482 0.8428 0.0884  0.06
O 0.5143 0.5143 0.8470  0.17
O 0.8428 0.3482 0.0884  0.06

Calculated values
* formation energy from raw total energies: -1.352 eV/atom

No. 7
Below is a PBEsol-optimized structure of Li4Cu3Ni3W2O16, with properties calculated at the SCAN level.

abc: 5.7231 5.8251 9.5737
angles: 94.23 90.00 119.42
Last column: magnetic moment on the atom in μB.
Fractional positions:
Li 0.3303 0.6605 0.9048  0.00
Li 0.0066 0.0132 0.9871  0.00
Li 0.9977 0.9953 0.4863  0.00
Li 0.6510 0.3020 0.4112  0.00
Cu 0.1676 0.8313 0.2121  0.44
Cu 0.6637 0.8313 0.2121  0.44
Cu 0.8329 0.6659 0.7139  0.81
Ni 0.1708 0.3417 0.2152  0.98
Ni 0.3394 0.1692 0.7129  0.91
Ni 0.8298 0.1692 0.7129  0.91
W 0.3197 0.6394 0.4900  0.04
W 0.6670 0.3340 0.9874  0.06
O 0.1844 0.8486 0.5871  0.04
O 0.4696 0.9391 0.3448  0.11
O 0.3237 0.6475 0.1233  0.07
O 0.0103 0.0206 0.2948  0.02
O 0.0106 0.0211 0.7970  0.03
O 0.6642 0.8486 0.5871  0.04
O 0.0183 0.4888 0.3609  0.07
O 0.4705 0.4888 0.3609  0.07
O 0.8436 0.6872 0.0805  0.02
O 0.1741 0.3482 0.5973  0.09
O 0.5094 0.4713 0.8446  0.12
O 0.9619 0.4713 0.8446  0.12
O 0.6577 0.3153 0.6218  0.04
O 0.3558 0.2079 0.0846  0.03
O 0.5157 0.0314 0.8481  0.18
O 0.8521 0.2079 0.0846  0.03

Calculated values
* formation energy from raw total energies: -1.633 eV/atom

No. 8
Below is a PBEsol-optimized structure of LiCuO2, with properties calculated at the SCAN level.

abc: 2.6936 5.0187 6.0319
angles: 84.52 77.10 74.43
Fractional positions:
O 0.2421 0.2735 0.2423
O 0.4631 0.7642 0.3097
O 0.4892 0.2890 0.7326
O 0.7147 0.7819 0.7888
Cu 0.1024 0.0327 0.7626
Cu 0.8533 0.0185 0.2750
Li 0.7253 0.5096 0.0397
Li 0.9750 0.5246 0.5254

Calculated values
* formation energy from raw total energies: -1.267 eV/atom

No. 9
Below is a PBEsol-optimized structure of LiCuO2, with properties calculated at the SCAN level.

abc: 2.7026 3.1600 4.9806
angles: 81.59 74.26 64.68
Fractional positions:
Cu 0.0000 0.0000 0.0000
O 0.5823 0.0895 0.7459
O 0.4177 0.9105 0.2541
Li 0.0000 0.5000 0.5000

Calculated values
* formation energy from raw total energies: -1.299 eV/atom

No. 10
Below is a PBEsol-optimized structure of LiCuO2, with properties calculated at the SCAN level.

abc: 3.1818 5.2150 5.2544
angles: 90.00 107.62 90.00
Fractional positions:
O 0.8740 0.9917 0.7480
O 0.8740 0.5083 0.7480
O 0.1260 0.0083 0.2520
O 0.1260 0.4917 0.2520
Cu 0.9959 0.2500 0.9917
Cu 0.0041 0.7500 0.0083
Li 0.7181 0.2500 0.4362
Li 0.2819 0.7500 0.5638

Calculated values
* formation energy from raw total energies: -1.233 eV/atom

No. 11
Below is a PBEsol-optimized structure of LiCuO2, with properties calculated at the SCAN level.

abc: 3.1790 4.9398 4.9703
angles: 105.42 97.92 94.28
Fractional positions:
O 0.7940 0.6455 0.2613
O 0.5869 0.1437 0.2934
O 0.4131 0.8563 0.7066
O 0.2060 0.3545 0.7387
Cu 0.0000 0.0000 0.5000
Cu 0.5000 0.5000 0.5000
Li 0.7057 0.2582 0.9648
Li 0.2943 0.7418 0.0352

Calculated values
* formation energy from raw total energies: -1.251 eV/atom

No. 12
Below is a PBEsol-optimized structure of LiCuO2, with properties calculated at the SCAN level.

abc: 2.8973 2.8973 4.9983
angles: 73.15 73.15 60.00
Last column: magnetic moment on the atom in μB.
Fractional positions:
Cu 0.0000 0.0000 0.0000  1.01
O 0.7435 0.7435 0.7695  0.44
O 0.2565 0.2565 0.2305  0.44
Li 0.5000 0.5000 0.5000  0.01

Calculated values
* formation energy from raw total energies: -1.322 eV/atom

Number 1: E_tot -90.06 eV per cell. Number 2: E_tot -431.39 eV per cell. Number 3: E_tot -160.47 eV per cell. Number 4: E_tot -271.80 eV per cell. Number 5: E_tot -274.20 eV per cell. Number 6: E_tot -315.74 eV per cell. Number 7: E_tot -388.48 eV per cell. Number 8: E_tot -70.24 eV per cell. Number 9: E_tot -35.25 eV per cell. Number 10: E_tot -69.97 eV per cell. Number 11: E_tot -70.11 eV per cell. Number 12: E_tot -35.34 eV per cell.